[1]
A relaxed structure of Tb7Pm12Sm, computed with PBE.

Offset from the most stable computed form (meV/atom): 0
N(E_F) (states/eV/f.u.): 34.17
Total DFT energy (no corrections) (eV for the cell shown): -91.0

Lattice parameters (Å, degrees): 9.4205 9.4205 9.4205 107.84 107.84 107.84
Sites, in units of the cell vectors:
Tb  0.0000  0.0000  0.0000
Tb  0.1797  0.6048  0.4914
Tb  0.3952  0.5086  0.8203
Tb  0.4914  0.1797  0.6048
Tb  0.5086  0.8203  0.3952
Tb  0.6048  0.4914  0.1797
Tb  0.8203  0.3952  0.5086
Pm  0.0929  0.2033  0.4496
Pm  0.1227  0.8286  0.2769
Pm  0.1714  0.7231  0.8773
Pm  0.2033  0.4496  0.0929
Pm  0.2769  0.1227  0.8286
Pm  0.4496  0.0929  0.2033
Pm  0.5504  0.9071  0.7967
Pm  0.7231  0.8773  0.1714
Pm  0.7967  0.5504  0.9071
Pm  0.8286  0.2769  0.1227
Pm  0.8773  0.1714  0.7231
Pm  0.9071  0.7967  0.5504
Sm  0.5000  0.5000  0.5000

[2]
A relaxed structure of TbPm3Sm4, computed with PBE.

Offset from the most stable computed form (meV/atom): 0
N(E_F) (states/eV/f.u.): 14.06
Total DFT energy (no corrections) (eV for the cell shown): -75.1

Lattice parameters (Å, degrees): 11.6901 7.3496 6.3584 90.00 90.00 90.00
Sites, in units of the cell vectors:
Tb  0.0000  0.1251  0.0000
Tb  0.5000  0.8749  0.5000
Pm  0.0000  0.8745  0.5005
Pm  0.2501  0.1247  0.3326
Pm  0.2499  0.8753  0.8326
Pm  0.5000  0.1255  0.0005
Pm  0.7499  0.1247  0.3326
Pm  0.7501  0.8753  0.8326
Sm  0.0000  0.3751  0.4995
Sm  0.0000  0.6248  0.0011
Sm  0.2487  0.3748  0.8328
Sm  0.2513  0.6252  0.3328
Sm  0.5000  0.3752  0.5011
Sm  0.5000  0.6249  0.9995
Sm  0.7487  0.6252  0.3328
Sm  0.7513  0.3748  0.8328

[3]
A relaxed structure of Tb6PmSm12, computed with PBE.

Offset from the most stable computed form (meV/atom): 60
N(E_F) (states/eV/f.u.): 36.13
Total DFT energy (no corrections) (eV for the cell shown): -85.4

Lattice parameters (Å, degrees): 8.8067 8.8067 8.8067 98.93 98.93 98.93
Sites, in units of the cell vectors:
Tb  0.1603  0.5976  0.5976
Tb  0.4024  0.4024  0.8397
Tb  0.4024  0.8397  0.4024
Tb  0.5976  0.1603  0.5976
Tb  0.5976  0.5976  0.1603
Tb  0.8397  0.4024  0.4024
Pm  0.5000  0.5000  0.5000
Sm  0.0000  0.2591  0.7409
Sm  0.0000  0.7409  0.2591
Sm  0.1448  0.1448  0.4168
Sm  0.1448  0.4168  0.1448
Sm  0.2591  0.0000  0.7409
Sm  0.2591  0.7409  0.0000
Sm  0.4168  0.1448  0.1448
Sm  0.5832  0.8552  0.8552
Sm  0.7409  0.0000  0.2591
Sm  0.7409  0.2591  0.0000
Sm  0.8552  0.5832  0.8552
Sm  0.8552  0.8552  0.5832

[4]
A relaxed structure of TbPmSm2, computed with PBE.

Offset from the most stable computed form (meV/atom): 0
N(E_F) (states/eV/f.u.): 5.82
Total DFT energy (no corrections) (eV for the cell shown): -18.8

Lattice parameters (Å, degrees): 11.9233 11.9233 11.9233 17.52 17.52 17.52
Sites, in units of the cell vectors:
Tb  0.0000  0.0000  0.0000
Pm  0.1668  0.1668  0.1668
Sm  0.4160  0.4160  0.4160
Sm  0.5845  0.5845  0.5845

[5]
A relaxed structure of Tb2Pm3Sm5, computed with PBE.

Offset from the most stable computed form (meV/atom): 0
N(E_F) (states/eV/f.u.): 18.59
Total DFT energy (no corrections) (eV for the cell shown): -90.5

Lattice parameters (Å, degrees): 9.4595 9.4595 9.7680 108.45 108.45 109.97
Sites, in units of the cell vectors:
Tb  0.0349  0.2798  0.0488
Tb  0.2798  0.0349  0.5488
Tb  0.7202  0.9651  0.4512
Tb  0.9651  0.7202  0.9512
Pm  0.2306  0.4827  0.4498
Pm  0.2703  0.7297  0.2500
Pm  0.4827  0.2306  0.9498
Pm  0.5173  0.7694  0.0502
Pm  0.7297  0.2703  0.7500
Pm  0.7694  0.5173  0.5502
Sm  0.0277  0.9723  0.7500
Sm  0.1111  0.3556  0.7203
Sm  0.2266  0.7734  0.7500
Sm  0.3556  0.1111  0.2203
Sm  0.4790  0.5210  0.2500
Sm  0.5210  0.4790  0.7500
Sm  0.6444  0.8889  0.7797
Sm  0.7734  0.2266  0.2500
Sm  0.8889  0.6444  0.2797
Sm  0.9723  0.0277  0.2500

[6]
A relaxed structure of Tb4Pm2Sm3, computed with PBE.

Offset from the most stable computed form (meV/atom): 78
N(E_F) (states/eV/f.u.): 12.16
Total DFT energy (no corrections) (eV for the cell shown): -82.7

Lattice parameters (Å, degrees): 10.1329 10.1329 6.1677 95.09 95.09 70.46
Sites, in units of the cell vectors:
Tb  0.0927  0.8138  0.9840
Tb  0.1456  0.4230  0.1509
Tb  0.1862  0.9073  0.5160
Tb  0.4230  0.1456  0.6509
Tb  0.5770  0.8544  0.3491
Tb  0.8138  0.0927  0.4840
Tb  0.8544  0.5770  0.8491
Tb  0.9073  0.1862  0.0160
Pm  0.2379  0.5189  0.6785
Pm  0.4811  0.7621  0.8215
Pm  0.5189  0.2379  0.1785
Pm  0.7621  0.4811  0.3215
Sm  0.0671  0.2637  0.5917
Sm  0.2637  0.0671  0.0917
Sm  0.4013  0.5987  0.2500
Sm  0.5987  0.4013  0.7500
Sm  0.7363  0.9329  0.9083
Sm  0.9329  0.7363  0.4083

[7]
A relaxed structure of Tb12Pm6Sm, computed with PBE.

Offset from the most stable computed form (meV/atom): 0
N(E_F) (states/eV/f.u.): 35.71
Total DFT energy (no corrections) (eV for the cell shown): -85.5

Lattice parameters (Å, degrees): 8.6080 8.6080 8.6080 91.50 91.50 91.50
Sites, in units of the cell vectors:
Tb  0.0275  0.9676  0.2920
Tb  0.0324  0.7080  0.9725
Tb  0.1191  0.4318  0.3597
Tb  0.2920  0.0275  0.9676
Tb  0.3597  0.1191  0.4318
Tb  0.4318  0.3597  0.1191
Tb  0.5682  0.6403  0.8809
Tb  0.6403  0.8809  0.5682
Tb  0.7080  0.9725  0.0324
Tb  0.8809  0.5682  0.6403
Tb  0.9676  0.2920  0.0275
Tb  0.9725  0.0324  0.7080
Pm  0.2254  0.3628  0.7540
Pm  0.2460  0.7746  0.6372
Pm  0.3628  0.7540  0.2254
Pm  0.6372  0.2460  0.7746
Pm  0.7540  0.2254  0.3628
Pm  0.7746  0.6372  0.2460
Sm  0.5000  0.5000  0.5000

[8]
A relaxed structure of Tb2PmSm3, computed with PBE.

Offset from the most stable computed form (meV/atom): 0
N(E_F) (states/eV/f.u.): 8.25
Total DFT energy (no corrections) (eV for the cell shown): -56.2

Lattice parameters (Å, degrees): 6.2463 6.2463 11.9688 110.31 110.31 70.60
Sites, in units of the cell vectors:
Tb  0.0414  0.2914  0.0829
Tb  0.2914  0.0414  0.5829
Tb  0.7086  0.9586  0.4171
Tb  0.9586  0.7086  0.9171
Pm  0.3749  0.6251  0.7500
Pm  0.6251  0.3749  0.2500
Sm  0.1250  0.8750  0.2500
Sm  0.2085  0.4584  0.4167
Sm  0.4584  0.2085  0.9167
Sm  0.5416  0.7915  0.0833
Sm  0.7915  0.5416  0.5833
Sm  0.8750  0.1250  0.7500

Values of DFT formation energy, in order: 0.16, 0.03, 0.20, 0.01, 0.19, 0.09, 0.17, 0.01, all in eV per atom.